NdPu2Sn | PBE | relaxed

Computed properties:
Formation enthalpy at 0 K (eV/atom): -0.01
Raw total energy (eV per formula unit): -37.464
N(E_F) (states/eV per atom): 3.516
Distance to the lowest polymorph of the same formula (kJ/mol of formula units): 105.9

The structure in CIF format:
```
data_NdPu2Sn
_space_group_name_H-M_alt 'F m -3 m'
_space_group_IT_number 225
_space_group_name_Hall '-F 4 2 3'
_cell_length_a 7.6401
_cell_length_b 7.6401
_cell_length_c 7.6401
_cell_angle_alpha 90.00
_cell_angle_beta 90.00
_cell_angle_gamma 90.00
loop_
_atom_site_label
_atom_site_fract_x
_atom_site_fract_y
_atom_site_fract_z
Nd1 0.0000 0.0000 0.0000
Pu1 0.2500 0.2500 0.2500
Sn1 0.0000 0.0000 0.5000
```


TbNdPuSn | PBE | relaxed

Computed properties:
Formation enthalpy at 0 K (eV/atom): -0.12
Raw total energy (eV per formula unit): -28.204
N(E_F) (states/eV per atom): 2.925

The structure in CIF format:
```
data_TbNdPuSn
_space_group_name_H-M_alt 'F -4 3 m'
_space_group_IT_number 216
_space_group_name_Hall 'F -4 2 3'
_cell_length_a 7.7451
_cell_length_b 7.7451
_cell_length_c 7.7451
_cell_angle_alpha 90.00
_cell_angle_beta 90.00
_cell_angle_gamma 90.00
loop_
_atom_site_label
_atom_site_fract_x
_atom_site_fract_y
_atom_site_fract_z
Tb1 0.0000 0.0000 0.0000
Nd1 0.2500 0.2500 0.2500
Pu1 0.2500 0.2500 0.7500
Sn1 0.0000 0.0000 0.5000
```


NdPuZnSn | PBE | relaxed

Computed properties:
Formation enthalpy at 0 K (eV/atom): -0.32
Raw total energy (eV per formula unit): -25.658
N(E_F) (states/eV per atom): 2.571

The structure in CIF format:
```
data_NdPuZnSn
_space_group_name_H-M_alt 'F -4 3 m'
_space_group_IT_number 216
_space_group_name_Hall 'F -4 2 3'
_cell_length_a 7.5150
_cell_length_b 7.5150
_cell_length_c 7.5150
_cell_angle_alpha 90.00
_cell_angle_beta 90.00
_cell_angle_gamma 90.00
loop_
_atom_site_label
_atom_site_fract_x
_atom_site_fract_y
_atom_site_fract_z
Nd1 0.0000 0.0000 0.0000
Pu1 0.0000 0.0000 0.5000
Zn1 0.2500 0.2500 0.7500
Sn1 0.2500 0.2500 0.2500
```


NdPu2Zn2Sn2 | PBE | relaxed

Computed properties:
Formation enthalpy at 0 K (eV/atom): -0.27
Raw total energy (eV per formula unit): -45.848
N(E_F) (states/eV per atom): 2.147

The structure in CIF format:
```
data_NdPu2Zn2Sn2
_space_group_name_H-M_alt 'R -3 m'
_space_group_IT_number 166
_space_group_name_Hall '-R 3 2"'
_cell_length_a 4.6382
_cell_length_b 4.6382
_cell_length_c 27.5769
_cell_angle_alpha 90.00
_cell_angle_beta 90.00
_cell_angle_gamma 120.00
loop_
_atom_site_label
_atom_site_fract_x
_atom_site_fract_y
_atom_site_fract_z
Nd1 0.0000 0.0000 0.0000
Pu1 0.0000 0.0000 0.1449
Zn1 0.0000 0.0000 0.4269
Sn1 0.0000 0.0000 0.2646
```


SrNdPu | PBE | relaxed

Computed properties:
Formation enthalpy at 0 K (eV/atom): 0.17
Raw total energy (eV per formula unit): -20.258
N(E_F) (states/eV per atom): 1.728

The structure in CIF format:
```
data_SrNdPu
_space_group_name_H-M_alt 'C 1 2/m 1'
_space_group_IT_number 12
_cell_length_a 6.2104
_cell_length_b 3.8741
_cell_length_c 16.5285
_cell_angle_alpha 90.00
_cell_angle_beta 91.74
_cell_angle_gamma 90.00
loop_
_space_group_symop_operation_xyz
'x,y,z'
'-x,-y,-z'
'-x,y,-z'
'x,-y,z'
'x+1/2,y+1/2,z'
'-x+1/2,-y+1/2,-z'
'-x+1/2,y+1/2,-z'
'x+1/2,-y+1/2,z'
loop_
_atom_site_label
_atom_site_fract_x
_atom_site_fract_y
_atom_site_fract_z
Sr1 0.1829 0.0000 0.3931
Nd1 0.1823 0.0000 0.8113
Pu1 0.1748 0.0000 0.0306
```


Tb5Nd12Pu | PBE | relaxed

Computed properties:
Formation enthalpy at 0 K (eV/atom): 0.04
Raw total energy (eV per formula unit): -94.034
N(E_F) (states/eV per atom): 1.612

The structure in CIF format:
```
data_Tb5Nd12Pu
_space_group_name_H-M_alt 'C 1 2/m 1'
_space_group_IT_number 12
_cell_length_a 18.8653
_cell_length_b 10.9011
_cell_length_c 6.2941
_cell_angle_alpha 90.00
_cell_angle_beta 109.17
_cell_angle_gamma 90.00
loop_
_space_group_symop_operation_xyz
'x,y,z'
'-x,-y,-z'
'-x,y,-z'
'x,-y,z'
'x+1/2,y+1/2,z'
'-x+1/2,-y+1/2,-z'
'-x+1/2,y+1/2,-z'
'x+1/2,-y+1/2,z'
loop_
_atom_site_label
_atom_site_fract_x
_atom_site_fract_y
_atom_site_fract_z
Tb1 0.0000 0.0000 0.0000
Tb2 0.1653 0.5000 0.9956
Tb3 0.1671 0.0000 0.5016
Nd1 0.0000 0.1684 0.5000
Nd2 0.0000 0.3364 0.0000
Nd3 0.1652 0.3358 0.5001
Nd4 0.1669 0.1656 0.0008
Pu1 0.0000 0.5000 0.5000
```


Tb12Nd3Pu | PBE | relaxed

Computed properties:
Formation enthalpy at 0 K (eV/atom): 0.04
Raw total energy (eV per formula unit): -83.529
N(E_F) (states/eV per atom): 1.854

The structure in CIF format:
```
data_Tb12Nd3Pu
_space_group_name_H-M_alt 'P 4/m m m'
_space_group_IT_number 123
_space_group_name_Hall '-P 4 2'
_cell_length_a 5.0557
_cell_length_b 5.0557
_cell_length_c 20.1862
_cell_angle_alpha 90.00
_cell_angle_beta 90.00
_cell_angle_gamma 90.00
loop_
_atom_site_label
_atom_site_fract_x
_atom_site_fract_y
_atom_site_fract_z
Tb1 0.0000 0.0000 0.0000
Tb2 0.0000 0.0000 0.2478
Tb3 0.0000 0.0000 0.5000
Tb4 0.0000 0.5000 0.1203
Tb5 0.0000 0.5000 0.3736
Nd1 0.5000 0.5000 0.2477
Nd2 0.5000 0.5000 0.5000
Pu1 0.5000 0.5000 0.0000
```


Tb4Nd3Pu | PBE | relaxed

Computed properties:
Formation enthalpy at 0 K (eV/atom): 0.15
Raw total energy (eV per formula unit): -45.958
N(E_F) (states/eV per atom): 1.980

The structure in CIF format:
```
data_Tb4Nd3Pu
_space_group_name_H-M_alt 'I m m m'
_space_group_IT_number 71
_space_group_name_Hall '-I 2 2'
_cell_length_a 3.4647
_cell_length_b 11.6945
_cell_length_c 12.9744
_cell_angle_alpha 90.00
_cell_angle_beta 90.00
_cell_angle_gamma 90.00
loop_
_atom_site_label
_atom_site_fract_x
_atom_site_fract_y
_atom_site_fract_z
Tb1 0.0000 0.2476 0.1320
Nd1 0.0000 0.0000 0.5000
Nd2 0.0000 0.5000 0.2650
Pu1 0.0000 0.0000 0.0000
```


TbNdPu | PBE | relaxed

Computed properties:
Formation enthalpy at 0 K (eV/atom): 0.13
Raw total energy (eV per formula unit): -23.354
N(E_F) (states/eV per atom): 2.280
Distance to the lowest polymorph of the same formula (kJ/mol of formula units): 0.0

The structure in CIF format:
```
data_TbNdPu
_space_group_name_H-M_alt 'I 4 m m'
_space_group_IT_number 107
_space_group_name_Hall 'I 4 -2'
_cell_length_a 3.5513
_cell_length_b 3.5513
_cell_length_c 15.0197
_cell_angle_alpha 90.00
_cell_angle_beta 90.00
_cell_angle_gamma 90.00
loop_
_atom_site_label
_atom_site_fract_x
_atom_site_fract_y
_atom_site_fract_z
Tb1 0.0000 0.0000 0.0000
Nd1 0.0000 0.0000 0.6733
Pu1 0.0000 0.0000 0.3393
```


Tb2NdPu | PBE | relaxed

Computed properties:
Formation enthalpy at 0 K (eV/atom): 0.20
Raw total energy (eV per formula unit): -27.565
N(E_F) (states/eV per atom): 3.291
Distance to the lowest polymorph of the same formula (kJ/mol of formula units): 36.4

The structure in CIF format:
```
data_Tb2NdPu
_space_group_name_H-M_alt 'P 4/m m m'
_space_group_IT_number 123
_space_group_name_Hall '-P 4 2'
_cell_length_a 5.8534
_cell_length_b 5.8534
_cell_length_c 3.7065
_cell_angle_alpha 90.00
_cell_angle_beta 90.00
_cell_angle_gamma 90.00
loop_
_atom_site_label
_atom_site_fract_x
_atom_site_fract_y
_atom_site_fract_z
Tb1 0.0000 0.5000 0.0000
Nd1 0.0000 0.0000 0.5000
Pu1 0.5000 0.5000 0.5000
```


Tb2NdPu | PBE | relaxed

Computed properties:
Formation enthalpy at 0 K (eV/atom): 0.10
Raw total energy (eV per formula unit): -27.942
N(E_F) (states/eV per atom): 2.520
Distance to the lowest polymorph of the same formula (kJ/mol of formula units): 0.0

The structure in CIF format:
```
data_Tb2NdPu
_space_group_name_H-M_alt 'P 4/m m m'
_space_group_IT_number 123
_space_group_name_Hall '-P 4 2'
_cell_length_a 3.5346
_cell_length_b 3.5346
_cell_length_c 10.1090
_cell_angle_alpha 90.00
_cell_angle_beta 90.00
_cell_angle_gamma 90.00
loop_
_atom_site_label
_atom_site_fract_x
_atom_site_fract_y
_atom_site_fract_z
Tb1 0.0000 0.0000 0.2392
Nd1 0.5000 0.5000 0.5000
Pu1 0.5000 0.5000 0.0000
```


Tb3Nd8Pu | PBE | relaxed

Computed properties:
Formation enthalpy at 0 K (eV/atom): 0.14
Raw total energy (eV per formula unit): -64.735
N(E_F) (states/eV per atom): 2.168

The structure in CIF format:
```
data_Tb3Nd8Pu
_space_group_name_H-M_alt 'C 1 2/m 1'
_space_group_IT_number 12
_cell_length_a 7.0600
_cell_length_b 12.0050
_cell_length_c 9.8528
_cell_angle_alpha 90.00
_cell_angle_beta 104.11
_cell_angle_gamma 90.00
loop_
_space_group_symop_operation_xyz
'x,y,z'
'-x,-y,-z'
'-x,y,-z'
'x,-y,z'
'x+1/2,y+1/2,z'
'-x+1/2,-y+1/2,-z'
'-x+1/2,y+1/2,-z'
'x+1/2,-y+1/2,z'
loop_
_atom_site_label
_atom_site_fract_x
_atom_site_fract_y
_atom_site_fract_z
Tb1 0.0000 0.0000 0.0000
Tb2 0.2500 0.2500 0.5000
Nd1 0.0699 0.2605 0.8352
Nd2 0.1785 0.0000 0.6766
Nd3 0.1806 0.5000 0.6606
Pu1 0.0000 0.5000 0.0000
```